[1]
Crystalline InGeBr at its relaxed geometry. Source: Alexandria via LeMat-Bulk, functional PBE-GGA.

Computed properties:
**Polymorph energy (0 for the lowest one)**: 28.7 kJ per mole of atoms
**Energy relative to the elements, uncorrected**: -0.05 eV per atom

Structure (CIF):
```
data_InGeBr
_chemical_formula_sum 'In4 Ge4 Br4'
_cell_length_a 13.6594
_cell_length_b 4.7003
_cell_length_c 5.5117
_cell_angle_alpha 90.00
_cell_angle_beta 90.00
_cell_angle_gamma 90.00
_symmetry_space_group_name_H-M 'A m m 2'
_symmetry_Int_Tables_number 38
loop_
_symmetry_equiv_pos_as_xyz
'x,y,z'
'-x,-y,z'
'-x,y,z'
'x,-y,z'
'x,y+1/2,z+1/2'
'-x,-y+1/2,z+1/2'
'-x,y+1/2,z+1/2'
'x,-y+1/2,z+1/2'
loop_
_atom_site_label
_atom_site_fract_x
_atom_site_fract_y
_atom_site_fract_z
_atom_site_occupancy
In1 0.1322 0.0000 0.0000 1
Ge1 0.0000 0.0000 0.5176 1
Ge2 0.5000 0.0000 0.7883 1
Br1 0.3696 0.0000 0.4464 1
```

***

[2]
Crystalline InGeBr at its relaxed geometry. Source: Alexandria via LeMat-Bulk, functional PBE-GGA.

Computed properties:
**Polymorph energy (0 for the lowest one)**: 12.7 kJ per mole of atoms
**Energy relative to the elements, uncorrected**: -0.21 eV per atom

Structure (CIF):
```
data_InGeBr
_chemical_formula_sum 'In2 Ge2 Br2'
_cell_length_a 5.4019
_cell_length_b 4.1766
_cell_length_c 7.3871
_cell_angle_alpha 90.00
_cell_angle_beta 95.15
_cell_angle_gamma 90.00
_symmetry_space_group_name_H-M 'P 1 m 1'
_symmetry_Int_Tables_number 6
loop_
_symmetry_equiv_pos_as_xyz
'x,y,z'
'x,-y,z'
loop_
_atom_site_label
_atom_site_fract_x
_atom_site_fract_y
_atom_site_fract_z
_atom_site_occupancy
In1 0.0000 0.0000 0.0000 1
In2 0.3082 0.0000 0.3823 1
Ge1 0.7528 0.0000 0.6314 1
Ge2 0.9835 0.5000 0.5228 1
Br1 0.3107 0.5000 0.8241 1
Br2 0.6835 0.5000 0.1987 1
```

***

[3]
Crystalline InGeBr at its relaxed geometry. Source: Alexandria via LeMat-Bulk, functional PBE-GGA.

Computed properties:
**Polymorph energy (0 for the lowest one)**: 11.6 kJ per mole of atoms
**Energy relative to the elements, uncorrected**: -0.22 eV per atom

Structure (CIF):
```
data_InGeBr
_chemical_formula_sum 'In2 Ge2 Br2'
_cell_length_a 5.0313
_cell_length_b 6.2043
_cell_length_c 6.4981
_cell_angle_alpha 77.28
_cell_angle_beta 69.50
_cell_angle_gamma 84.39
_symmetry_space_group_name_H-M 'P 1'
_symmetry_Int_Tables_number 1
loop_
_symmetry_equiv_pos_as_xyz
'x,y,z'
loop_
_atom_site_label
_atom_site_fract_x
_atom_site_fract_y
_atom_site_fract_z
_atom_site_occupancy
In1 0.0000 0.0000 0.0000 1
In2 0.4891 0.5011 0.3656 1
Ge1 0.0664 0.5715 0.1769 1
Ge2 0.1636 0.4329 0.8196 1
Br1 0.4366 0.0408 0.2983 1
Br2 0.7797 0.7012 0.7403 1
```

***

[4]
Crystalline InGe2Br2 at its relaxed geometry. Source: Alexandria via LeMat-Bulk, functional PBE-GGA.

Computed properties:
**Polymorph energy (0 for the lowest one)**: 29.3 kJ per mole of atoms
**Energy relative to the elements, uncorrected**: 0.17 eV per atom

Structure (CIF):
```
data_InGe2Br2
_chemical_formula_sum 'In2 Ge4 Br4'
_cell_length_a 4.8412
_cell_length_b 4.8412
_cell_length_c 11.8250
_cell_angle_alpha 90.00
_cell_angle_beta 90.00
_cell_angle_gamma 90.00
_symmetry_space_group_name_H-M 'I 4/m m m'
_symmetry_Int_Tables_number 139
_symmetry_space_group_name_Hall '-I 4 2'
loop_
_atom_site_label
_atom_site_fract_x
_atom_site_fract_y
_atom_site_fract_z
_atom_site_occupancy
In1 0.0000 0.0000 0.0000 1
Ge1 0.0000 0.0000 0.3930 1
Br1 0.0000 0.5000 0.2500 1
```

***

[5]
Crystalline In2GeBr4 at its relaxed geometry. Source: Alexandria via LeMat-Bulk, functional PBE-GGA.

Computed properties:
**Polymorph energy (0 for the lowest one)**: 0.0 kJ per mole of atoms
**Energy relative to the elements, uncorrected**: -0.60 eV per atom

Structure (CIF):
```
data_In2GeBr4
_chemical_formula_sum 'In8 Ge4 Br16'
_cell_length_a 7.6323
_cell_length_b 16.0750
_cell_length_c 8.0721
_cell_angle_alpha 90.00
_cell_angle_beta 90.00
_cell_angle_gamma 90.00
_symmetry_space_group_name_H-M 'C m c e'
_symmetry_Int_Tables_number 64
_symmetry_space_group_name_Hall '-C 2ac 2'
loop_
_atom_site_label
_atom_site_fract_x
_atom_site_fract_y
_atom_site_fract_z
_atom_site_occupancy
In1 0.0000 0.1376 0.0538 1
Ge1 0.0000 0.0000 0.5000 1
Br1 0.0000 0.1723 0.4377 1
Br2 0.2500 0.0211 0.7500 1
```

***

[6]
Crystalline InGeBr at its relaxed geometry. Source: Alexandria via LeMat-Bulk, functional PBE-GGA.

Computed properties:
**Polymorph energy (0 for the lowest one)**: 13.2 kJ per mole of atoms
**Energy relative to the elements, uncorrected**: -0.21 eV per atom

Structure (CIF):
```
data_InGeBr
_chemical_formula_sum 'In2 Ge2 Br2'
_cell_length_a 4.9216
_cell_length_b 5.8968
_cell_length_c 6.6130
_cell_angle_alpha 79.11
_cell_angle_beta 87.01
_cell_angle_gamma 75.13
_symmetry_space_group_name_H-M 'P 1'
_symmetry_Int_Tables_number 1
loop_
_symmetry_equiv_pos_as_xyz
'x,y,z'
loop_
_atom_site_label
_atom_site_fract_x
_atom_site_fract_y
_atom_site_fract_z
_atom_site_occupancy
In1 0.0000 0.0000 0.0000 1
In2 0.4789 0.4772 0.5484 1
Ge1 0.2855 0.5363 0.1594 1
Ge2 0.4474 0.2245 0.9286 1
Br1 0.0236 0.2348 0.3634 1
Br2 0.8003 0.7690 0.6246 1
```